Pr5Nd12Sm2 (PBE-GGA, relaxed); ΔH_f (0 K) = 157 meV per atom; symmetry = No. 12; ρ = 6.7 g/cm³; energy above the most stable polymorph in this dataset = 32.8 meV per atom
1.0
9.459 -3.628 0.000
9.459 3.628 0.000
-3.881 0.000 9.909
Pr Nd Sm
5 12 2
Direct
0.000 0.000 0.000
0.187 0.187 0.684
0.325 0.325 0.290
0.675 0.675 0.710
0.813 0.813 0.316
0.027 0.027 0.744
0.085 0.581 0.977
0.089 0.594 0.633
0.406 0.911 0.367
0.419 0.915 0.023
0.499 0.499 0.174
0.501 0.501 0.826
0.581 0.085 0.977
0.594 0.089 0.633
0.911 0.406 0.367
0.915 0.419 0.023
0.973 0.973 0.256
0.279 0.721 0.500
0.721 0.279 0.500

Pr5Nd12Sm2 (PBE-GGA, relaxed); ΔH_f (0 K) = 125 meV per atom; symmetry = No. 12; ρ = 6.6 g/cm³; energy above the most stable polymorph in this dataset = 0.0 meV per atom
1.0
11.361 -3.624 0.000
11.361 3.624 0.000
-3.065 0.000 8.344
Pr Nd Sm
5 12 2
Direct
0.000 0.000 0.000
0.248 0.248 0.990
0.349 0.349 0.405
0.651 0.651 0.595
0.752 0.752 0.010
0.053 0.547 0.707
0.143 0.143 0.561
0.151 0.637 0.116
0.363 0.849 0.884
0.452 0.452 0.805
0.453 0.947 0.293
0.547 0.053 0.707
0.548 0.548 0.195
0.637 0.151 0.116
0.849 0.363 0.884
0.857 0.857 0.439
0.947 0.453 0.293
0.256 0.744 0.500
0.744 0.256 0.500

Pr9Nd2Sm (PBE-GGA, relaxed); ΔH_f (0 K) = 12 meV per atom; symmetry = No. 123; ρ = 6.6 g/cm³
1.0
5.231 0.000 0.000
0.000 5.231 0.000
0.000 0.000 15.702
Pr Nd Sm
9 2 1
Direct
0.000 0.000 0.000
0.000 0.000 0.333
0.000 0.000 0.667
0.000 0.500 0.166
0.000 0.500 0.500
0.000 0.500 0.834
0.500 0.000 0.166
0.500 0.000 0.500
0.500 0.000 0.834
0.500 0.500 0.333
0.500 0.500 0.667
0.500 0.500 0.000

Pr2Nd5Sm4 (PBE-GGA, relaxed); ΔH_f (0 K) = 191 meV per atom; symmetry = No. 71; ρ = 6.7 g/cm³; energy above the most stable polymorph in this dataset = 60.8 meV per atom
1.0
-1.789 4.686 11.874
1.789 -4.686 11.874
1.789 4.686 -11.874
Pr Nd Sm
2 5 4
Direct
0.231 0.231 0.000
0.769 0.769 0.000
0.158 0.355 0.803
0.447 0.645 0.803
0.500 0.000 0.500
0.553 0.355 0.197
0.842 0.645 0.197
0.096 0.096 0.000
0.195 0.500 0.695
0.805 0.500 0.305
0.904 0.904 0.000

PrNdSm2 (PBE-GGA, relaxed); ΔH_f (0 K) = 11 meV per atom; symmetry = No. 166; ρ = 7.0 g/cm³; energy above the most stable polymorph in this dataset = 14.1 meV per atom
1.0
1.833 1.058 11.943
-1.833 1.058 11.943
0.000 -2.116 11.943
Pr Nd Sm
1 1 2
Direct
0.000 0.000 0.000
0.500 0.500 0.500
0.250 0.250 0.250
0.750 0.750 0.750

PrNd5Sm5 (PBE-GGA, relaxed); ΔH_f (0 K) = 138 meV per atom; symmetry = No. 2; ρ = 6.9 g/cm³; energy above the most stable polymorph in this dataset = 0.0 meV per atom
1.0
7.060 0.000 0.000
2.263 6.704 0.000
2.037 1.574 8.262
Pr Nd Sm
1 5 5
Direct
0.000 0.000 0.000
0.000 0.500 0.000
0.148 0.143 0.357
0.359 0.758 0.723
0.641 0.242 0.277
0.852 0.857 0.643
0.221 0.646 0.292
0.312 0.294 0.646
0.500 0.000 0.000
0.688 0.706 0.354
0.779 0.354 0.708

Pr4Nd8Sm3 (PBE-GGA, relaxed); ΔH_f (0 K) = 296 meV per atom; symmetry = No. 12; ρ = 6.7 g/cm³; energy above the most stable polymorph in this dataset = 180.9 meV per atom
1.0
7.118 -6.215 0.000
7.118 6.215 0.000
-3.383 0.000 6.064
Pr Nd Sm
4 8 3
Direct
0.000 0.000 0.000
0.000 0.000 0.500
0.000 0.500 0.000
0.500 0.000 0.000
0.249 0.249 0.746
0.249 0.751 0.000
0.299 0.701 0.500
0.300 0.300 0.299
0.700 0.700 0.701
0.701 0.299 0.500
0.751 0.249 0.000
0.751 0.751 0.254
0.000 0.500 0.500
0.500 0.000 0.500
0.500 0.500 0.000

Pr3Nd2Sm6 (PBE-GGA, relaxed); ΔH_f (0 K) = 13 meV per atom; symmetry = No. 2; ρ = 7.0 g/cm³; energy above the most stable polymorph in this dataset = 0.0 meV per atom
1.0
6.350 0.000 0.000
-2.099 7.894 0.000
-1.038 -2.820 7.622
Pr Nd Sm
3 2 6
Direct
0.000 0.000 0.000
0.091 0.365 0.818
0.909 0.635 0.182
0.274 0.092 0.455
0.726 0.908 0.545
0.182 0.727 0.637
0.364 0.455 0.274
0.456 0.819 0.091
0.544 0.181 0.909
0.636 0.545 0.726
0.818 0.273 0.363

What is the formula in the eighth record? Pr3Nd2Sm6

Which formula does entry 5 have? PrNdSm2